(1)
A relaxed Li2TcP crystal, computed with PBE.

Output
Fermi-level density of states: 6.6 states/eV/cell
M_tot: 0.000 μB/atom
ΔH_f (0 K): 0.099 eV per atom

a b c (Å): 7.005 7.005 4.587
angles (deg): 90.00 90.00 90.00
Space group I-42d (No. 122)
One atom of each set of equivalent atoms:
1 Li 0.218 0.250 0.125 [8 per cell]
2 Tc 0.000 0.000 0.500 [4 per cell]
3 P 0.000 0.000 0.000 [4 per cell]


(2)
A relaxed LiTc4P2 crystal, computed with PBE.

Output
Fermi-level density of states: 11.1 states/eV/cell
M_tot: 0.000 μB/atom
ΔH_f (0 K): -0.339 eV per atom

a b c (Å): 4.041 13.369 3.990
angles (deg): 90.00 90.00 90.00
Space group Cmmm (No. 65)
One atom of each set of equivalent atoms:
1 Li 0.000 0.000 0.000 [2 per cell]
2 Tc 0.000 0.181 0.500 [4 per cell]
3 Tc 0.000 0.307 0.000 [4 per cell]
4 P 0.000 0.416 0.500 [4 per cell]


(3)
A relaxed Li4TcP crystal, computed with PBE.

Output
Fermi-level density of states: 10.3 states/eV/cell
M_tot: 0.276 μB/atom
ΔH_f (0 K): 0.281 eV per atom

a b c (Å): 6.631 6.631 6.631
angles (deg): 90.00 90.00 90.00
Space group F-43m (No. 216)
One atom of each set of equivalent atoms:
1 Li 0.125 0.125 0.125 [16 per cell]
2 Tc 0.000 0.000 0.500 [4 per cell]
3 P 0.250 0.250 0.750 [4 per cell]


(4)
A relaxed LiTc3P crystal, computed with PBE.

Output
Fermi-level density of states: 5.6 states/eV/cell
Polymorph energy (0 for the lowest one): 769 meV/atom
M_tot: 0.532 μB/atom
ΔH_f (0 K): 1.320 eV per atom

a b c (Å): 4.117 4.117 4.117
angles (deg): 90.00 90.00 90.00
Space group Pm-3m (No. 221)
One atom of each set of equivalent atoms:
1 Li 0.000 0.000 0.000 [1 per cell]
2 Tc 0.000 0.000 0.500 [3 per cell]
3 P 0.500 0.500 0.500 [1 per cell]


(5)
A relaxed LiTc2P2 crystal, computed with PBE.

Output
Fermi-level density of states: 5.1 states/eV/cell
Polymorph energy (0 for the lowest one): 0 meV/atom
M_tot: 0.000 μB/atom
ΔH_f (0 K): -0.537 eV per atom

a b c (Å): 4.064 4.064 9.241
angles (deg): 90.00 90.00 90.00
Space group I4/mmm (No. 139)
One atom of each set of equivalent atoms:
1 Li 0.000 0.000 0.000 [2 per cell]
2 Tc 0.000 0.500 0.250 [4 per cell]
3 P 0.000 0.000 0.378 [4 per cell]


(6)
A relaxed Li2TcP crystal, computed with PBE.

Output
Fermi-level density of states: 5.2 states/eV/cell
M_tot: 0.000 μB/atom
ΔH_f (0 K): -0.004 eV per atom

a b c (Å): 3.167 4.779 8.446
angles (deg): 90.00 90.00 90.00
Space group Cmm2 (No. 35)
One atom of each set of equivalent atoms:
1 Li 0.000 0.000 0.000 [2 per cell]
2 Li 0.000 0.500 0.312 [2 per cell]
3 Tc 0.000 0.500 0.735 [2 per cell]
4 P 0.000 0.000 0.542 [2 per cell]


(7)
A relaxed Li2TcP crystal, computed with PBE.

Output
Fermi-level density of states: 2.0 states/eV/cell
M_tot: 0.000 μB/atom
ΔH_f (0 K): -0.090 eV per atom

a b c (Å): 2.549 4.241 4.888
angles (deg): 90.00 90.00 90.00
Space group Pmmm (No. 47)
One atom of each set of equivalent atoms:
1 Li 0.000 0.000 0.247 [2 per cell]
2 Tc 0.500 0.500 0.500 [1 per cell]
3 P 0.500 0.500 0.000 [1 per cell]


(8)
A relaxed Li2TcP crystal, computed with PBE.

Output
Fermi-level density of states: 3.3 states/eV/cell
M_tot: 0.000 μB/atom
ΔH_f (0 K): -0.098 eV per atom

a b c (Å): 4.815 8.768 2.548
angles (deg): 90.00 90.00 90.00
Space group Cmmm (No. 65)
One atom of each set of equivalent atoms:
1 Li 0.250 0.250 0.000 [4 per cell]
2 Tc 0.000 0.000 0.500 [2 per cell]
3 P 0.000 0.500 0.500 [2 per cell]